[1]
# GGA-PBE NiRu4Rh, relaxed
data_NiRu4Rh
_cell_length_a 5.0262
_cell_length_b 5.0262
_cell_length_c 5.0262
_cell_angle_alpha 60.00
_cell_angle_beta 60.00
_cell_angle_gamma 60.00
_symmetry_space_group_name_H-M 'P 1'
_symmetry_Int_Tables_number 1
loop_
_symmetry_equiv_pos_as_xyz
'x,y,z'
loop_
_atom_site_label
_atom_site_type_symbol
_atom_site_fract_x
_atom_site_fract_y
_atom_site_fract_z
Ni1 Ni 0.0000 0.0000 0.0000
Ru1 Ru 0.1245 0.6252 0.6252
Ru2 Ru 0.6252 0.1245 0.6252
Ru3 Ru 0.6252 0.6252 0.1245
Ru4 Ru 0.6252 0.6252 0.6252
Rh1 Rh 0.2500 0.2500 0.2500
# space group	F-43m (216)
# spin magnetization	3.60	μB per formula unit
# formation energy	0.6636	eV per atom

=====

[2]
# GGA-PBE LiCaOs2O8, relaxed
data_LiCaOs2O8
_cell_length_a 6.8943
_cell_length_b 6.8943
_cell_length_c 6.8943
_cell_angle_alpha 135.45
_cell_angle_beta 135.45
_cell_angle_gamma 64.83
_symmetry_space_group_name_H-M 'P 1'
_symmetry_Int_Tables_number 1
loop_
_symmetry_equiv_pos_as_xyz
'x,y,z'
loop_
_atom_site_label
_atom_site_type_symbol
_atom_site_fract_x
_atom_site_fract_y
_atom_site_fract_z
Li1 Li 0.0000 0.0000 0.0000
Ca1 Ca 0.2500 0.7500 0.5000
Os1 Os 0.5000 0.5000 0.0000
Os2 Os 0.7500 0.2500 0.5000
O1 O 0.2626 0.6695 0.0894
O2 O 0.3305 0.4200 0.5931
O3 O 0.4219 0.0129 0.0944
O4 O 0.5800 0.1731 0.9106
O5 O 0.6724 0.5781 0.5910
O6 O 0.8269 0.7374 0.4069
O7 O 0.9186 0.3276 0.9056
O8 O 0.9871 0.0814 0.4090
# space group	I-4 (82)
# spin magnetization	2.83	μB per formula unit
# calculated total energy	-6.914	eV/atom

=====

[3]
# GGA-PBE La3Pr8Nd2, relaxed
data_La3Pr8Nd2
_cell_length_a 6.4455
_cell_length_b 9.8375
_cell_length_c 16.2073
_cell_angle_alpha 97.53
_cell_angle_beta 97.83
_cell_angle_gamma 109.00
_symmetry_space_group_name_H-M 'P 1'
_symmetry_Int_Tables_number 1
loop_
_symmetry_equiv_pos_as_xyz
'x,y,z'
loop_
_atom_site_label
_atom_site_type_symbol
_atom_site_fract_x
_atom_site_fract_y
_atom_site_fract_z
La1 La 0.0000 0.0000 0.0000
La2 La 0.0397 0.5389 0.8077
La3 La 0.2699 0.7693 0.6533
La4 La 0.5000 0.0000 0.5000
La5 La 0.7301 0.2307 0.3467
La6 La 0.9603 0.4611 0.1923
Pr1 Pr 0.0762 0.0769 0.6154
Pr2 Pr 0.1162 0.6152 0.4232
Pr3 Pr 0.1545 0.1542 0.2308
Pr4 Pr 0.1917 0.6919 0.0383
Pr5 Pr 0.2320 0.2320 0.8465
Pr6 Pr 0.3462 0.8457 0.2688
Pr7 Pr 0.4223 0.9231 0.8849
Pr8 Pr 0.4618 0.4617 0.6920
Pr9 Pr 0.5382 0.5383 0.3080
Pr10 Pr 0.5777 0.0769 0.1151
Pr11 Pr 0.6538 0.1543 0.7312
Pr12 Pr 0.7680 0.7680 0.1535
Pr13 Pr 0.8083 0.3081 0.9617
Pr14 Pr 0.8455 0.8458 0.7692
Pr15 Pr 0.8838 0.3848 0.5768
Pr16 Pr 0.9238 0.9231 0.3846
Nd1 Nd 0.3070 0.3080 0.4616
Nd2 Nd 0.3845 0.3851 0.0767
Nd3 Nd 0.6155 0.6149 0.9233
Nd4 Nd 0.6930 0.6920 0.5384
# space group	P-1 (2)
# relative energy among the computed polymorphs	0	meV per atom
# spin magnetization	0.00	μB per formula unit
# formation energy	0.0125	eV per atom

=====

[4]
# GGA-PBE DyZr2U, relaxed
data_DyZr2U
_cell_length_a 11.0877
_cell_length_b 11.0877
_cell_length_c 11.0877
_cell_angle_alpha 16.76
_cell_angle_beta 16.76
_cell_angle_gamma 16.76
_symmetry_space_group_name_H-M 'P 1'
_symmetry_Int_Tables_number 1
loop_
_symmetry_equiv_pos_as_xyz
'x,y,z'
loop_
_atom_site_label
_atom_site_type_symbol
_atom_site_fract_x
_atom_site_fract_y
_atom_site_fract_z
Dy1 Dy 0.0000 0.0000 0.0000
Zr1 Zr 0.2469 0.2469 0.2469
Zr2 Zr 0.7531 0.7531 0.7531
U1 U 0.5000 0.5000 0.5000
# space group	R-3m (166)
# spin magnetization	1.84	μB per formula unit
# formation energy	0.2557	eV per atom

=====

[5]
# GGA-PBE NbCoS2N, relaxed
data_NbCoS2N
_cell_length_a 4.6162
_cell_length_b 4.6162
_cell_length_c 3.3711
_cell_angle_alpha 90.00
_cell_angle_beta 90.00
_cell_angle_gamma 90.00
_symmetry_space_group_name_H-M 'P 1'
_symmetry_Int_Tables_number 1
loop_
_symmetry_equiv_pos_as_xyz
'x,y,z'
loop_
_atom_site_label
_atom_site_type_symbol
_atom_site_fract_x
_atom_site_fract_y
_atom_site_fract_z
Nb1 Nb 0.0000 0.0000 0.0000
Co1 Co 0.5000 0.5000 0.5000
S1 S 0.0000 0.5000 0.5000
S2 S 0.5000 0.0000 0.5000
N1 N 0.5000 0.5000 0.0000
# space group	P4/mmm (123)
# relative energy among the computed polymorphs	0	meV per atom
# spin magnetization	1.68	μB per formula unit

=====

[6]
# GGA-PBE YIO2, relaxed
data_YIO2
_cell_length_a 6.6829
_cell_length_b 6.6829
_cell_length_c 6.6829
_cell_angle_alpha 32.14
_cell_angle_beta 32.14
_cell_angle_gamma 32.14
_symmetry_space_group_name_H-M 'P 1'
_symmetry_Int_Tables_number 1
loop_
_symmetry_equiv_pos_as_xyz
'x,y,z'
loop_
_atom_site_label
_atom_site_type_symbol
_atom_site_fract_x
_atom_site_fract_y
_atom_site_fract_z
Y1 Y 0.0000 0.0000 0.0000
I1 I 0.5000 0.5000 0.5000
O1 O 0.3829 0.3829 0.3829
O2 O 0.6171 0.6171 0.6171
# space group	R-3m (166)
# relative energy among the computed polymorphs	0	meV per atom
# spin magnetization	0.00	μB per formula unit

=====

[7]
# GGA-PBE BaPrTlSn, relaxed
data_BaPrTlSn
_cell_length_a 5.7794
_cell_length_b 5.7794
_cell_length_c 5.7794
_cell_angle_alpha 60.00
_cell_angle_beta 60.00
_cell_angle_gamma 60.00
_symmetry_space_group_name_H-M 'P 1'
_symmetry_Int_Tables_number 1
loop_
_symmetry_equiv_pos_as_xyz
'x,y,z'
loop_
_atom_site_label
_atom_site_type_symbol
_atom_site_fract_x
_atom_site_fract_y
_atom_site_fract_z
Ba1 Ba 0.0000 0.0000 0.0000
Pr1 Pr 0.5000 0.5000 0.5000
Tl1 Tl 0.7500 0.7500 0.7500
Sn1 Sn 0.2500 0.2500 0.2500
# space group	F-43m (216)
# spin magnetization	0.00	μB per formula unit
# formation energy	-0.4234	eV per atom

=====

[8]
# GGA-PBE Th3Te2P, relaxed
data_Th3Te2P
_cell_length_a 7.5896
_cell_length_b 7.5896
_cell_length_c 7.3243
_cell_angle_alpha 99.85
_cell_angle_beta 99.85
_cell_angle_gamma 117.96
_symmetry_space_group_name_H-M 'P 1'
_symmetry_Int_Tables_number 1
loop_
_symmetry_equiv_pos_as_xyz
'x,y,z'
loop_
_atom_site_label
_atom_site_type_symbol
_atom_site_fract_x
_atom_site_fract_y
_atom_site_fract_z
Th1 Th 0.0000 0.5000 0.0000
Th2 Th 0.1259 0.2709 0.4834
Th3 Th 0.2709 0.1259 0.9834
Th4 Th 0.5000 0.0000 0.5000
Th5 Th 0.7291 0.8741 0.0166
Th6 Th 0.8741 0.7291 0.5166
Te1 Te 0.2709 0.7291 0.7500
Te2 Te 0.4243 0.5757 0.2500
Te3 Te 0.5757 0.4243 0.7500
Te4 Te 0.7291 0.2709 0.2500
P1 P 0.0973 0.9027 0.2500
P2 P 0.9027 0.0973 0.7500
# space group	C2/c (15)
# relative energy among the computed polymorphs	25	meV per atom
# spin magnetization	0.00	μB per formula unit

=====

[9]
# GGA-PBE Tb2CdCu2Pd5, relaxed
data_Tb2CdCu2Pd5
_cell_length_a 9.4429
_cell_length_b 9.4429
_cell_length_c 3.9519
_cell_angle_alpha 90.00
_cell_angle_beta 90.00
_cell_angle_gamma 90.00
_symmetry_space_group_name_H-M 'P 1'
_symmetry_Int_Tables_number 1
loop_
_symmetry_equiv_pos_as_xyz
'x,y,z'
loop_
_atom_site_label
_atom_site_type_symbol
_atom_site_fract_x
_atom_site_fract_y
_atom_site_fract_z
Tb1 Tb 0.1756 0.3244 0.0000
Tb2 Tb 0.3244 0.8244 0.0000
Tb3 Tb 0.6756 0.1756 0.0000
Tb4 Tb 0.8244 0.6756 0.0000
Cd1 Cd 0.0000 0.0000 0.0000
Cd2 Cd 0.5000 0.5000 0.0000
Cu1 Cu 0.1207 0.6207 0.0000
Cu2 Cu 0.3793 0.1207 0.0000
Cu3 Cu 0.6207 0.8793 0.0000
Cu4 Cu 0.8793 0.3793 0.0000
Pd1 Pd 0.0000 0.5000 0.5000
Pd2 Pd 0.0719 0.7926 0.5000
Pd3 Pd 0.2074 0.0719 0.5000
Pd4 Pd 0.2926 0.5719 0.5000
Pd5 Pd 0.4281 0.2926 0.5000
Pd6 Pd 0.5000 0.0000 0.5000
Pd7 Pd 0.5719 0.7074 0.5000
Pd8 Pd 0.7074 0.4281 0.5000
Pd9 Pd 0.7926 0.9281 0.5000
Pd10 Pd 0.9281 0.2074 0.5000
# space group	P4/mbm (127)
# spin magnetization	0.00	μB per formula unit
# formation energy	-0.6348	eV per atom

=====

[10]
# GGA-PBE FeWAu3, relaxed
data_FeWAu3
_cell_length_a 5.0316
_cell_length_b 5.0316
_cell_length_c 5.0316
_cell_angle_alpha 90.00
_cell_angle_beta 90.00
_cell_angle_gamma 90.00
_symmetry_space_group_name_H-M 'P 1'
_symmetry_Int_Tables_number 1
loop_
_symmetry_equiv_pos_as_xyz
'x,y,z'
loop_
_atom_site_label
_atom_site_type_symbol
_atom_site_fract_x
_atom_site_fract_y
_atom_site_fract_z
Fe1 Fe 0.0000 0.0000 0.0000
W1 W 0.5000 0.5000 0.5000
Au1 Au 0.0000 0.5000 0.5000
Au2 Au 0.5000 0.0000 0.5000
Au3 Au 0.5000 0.5000 0.0000
# space group	Pm-3m (221)
# relative energy among the computed polymorphs	0	meV per atom
# spin magnetization	3.15	μB per formula unit
# formation energy	1.5995	eV per atom

=====

[11]
# GGA-PBE CsTl3Rh, relaxed
data_CsTl3Rh
_cell_length_a 5.2584
_cell_length_b 5.2584
_cell_length_c 8.6717
_cell_angle_alpha 90.00
_cell_angle_beta 90.00
_cell_angle_gamma 90.00
_symmetry_space_group_name_H-M 'P 1'
_symmetry_Int_Tables_number 1
loop_
_symmetry_equiv_pos_as_xyz
'x,y,z'
loop_
_atom_site_label
_atom_site_type_symbol
_atom_site_fract_x
_atom_site_fract_y
_atom_site_fract_z
Cs1 Cs 0.0000 0.0000 0.0000
Tl1 Tl 0.0000 0.0000 0.4400
Tl2 Tl 0.0000 0.5000 0.6652
Tl3 Tl 0.5000 0.0000 0.6652
Rh1 Rh 0.5000 0.5000 0.6645
# space group	P4mm (99)
# spin magnetization	0.00	μB per formula unit
# formation energy	0.2392	eV per atom

=====

[12]
# GGA-PBE CdB, relaxed
data_CdB
_cell_length_a 5.8244
_cell_length_b 5.8244
_cell_length_c 5.8244
_cell_angle_alpha 109.47
_cell_angle_beta 109.47
_cell_angle_gamma 109.47
_symmetry_space_group_name_H-M 'P 1'
_symmetry_Int_Tables_number 1
loop_
_symmetry_equiv_pos_as_xyz
'x,y,z'
loop_
_atom_site_label
_atom_site_type_symbol
_atom_site_fract_x
_atom_site_fract_y
_atom_site_fract_z
Cd1 Cd 0.0000 0.0000 0.4383
Cd2 Cd 0.0000 0.4383 0.0000
Cd3 Cd 0.4383 0.0000 0.0000
Cd4 Cd 0.5617 0.5617 0.5617
B1 B 0.0000 0.0000 0.8137
B2 B 0.0000 0.8137 0.0000
B3 B 0.1863 0.1863 0.1863
B4 B 0.8137 0.0000 0.0000
# space group	I-43m (217)
# relative energy among the computed polymorphs	203	meV per atom
# spin magnetization	0.00	μB per formula unit
# formation energy	0.5671	eV per atom